[1]
A relaxed structure of LiTlGeS3. Source: Alexandria via LeMat-Bulk, functional PBE.

Summary:
- Volume: 23.1 Å³/atom
- Final energy: -4.06 eV/atom

a b c (Å): 6.5321 6.7171 7.1662
angles (deg): 117.95 90.00 90.00
Fractional coordinates of all 12 atoms:
Li1 0.2500 0.4220 0.8440
S1 0.0000 0.7630 0.0000
S2 0.0000 0.2370 0.0000
Li2 0.7500 0.5780 0.1560
Ge1 0.7500 0.9434 0.8869
S3 0.7500 0.7698 0.5395
Tl1 0.2500 0.7483 0.4967
Ge2 0.2500 0.0566 0.1131
Tl2 0.7500 0.2517 0.5033
S4 0.2500 0.2302 0.4605
S5 0.5000 0.7630 0.0000
S6 0.5000 0.2370 0.0000

=====

[2]
A relaxed structure of Ca4Ir. Source: Alexandria via LeMat-Bulk, functional PBE.

Summary:
- Volume: 38.4 Å³/atom
- Final energy: -3.23 eV/atom

a b c (Å): 8.1558 8.1558 8.1558
angles (deg): 60.00 60.00 60.00
Fractional coordinates of all 10 atoms:
Ca1 0.3810 0.8569 0.3810
Ca2 0.3810 0.3810 0.8569
Ca3 0.3810 0.3810 0.3810
Ca4 0.8690 0.3931 0.8690
Ir1 0.2500 0.2500 0.2500
Ca5 0.8690 0.8690 0.3931
Ca6 0.3931 0.8690 0.8690
Ca7 0.8690 0.8690 0.8690
Ca8 0.8569 0.3810 0.3810
Ir2 0.0000 0.0000 0.0000

=====

[3]
A relaxed structure of TaFe2Ni. Source: Alexandria via LeMat-Bulk, functional PBE.

Summary:
- Volume: 13.4 Å³/atom
- Final energy: -8.41 eV/atom

a b c (Å): 8.7931 8.7931 8.7931
angles (deg): 17.52 17.52 17.52
Last column: magnetic moment on the atom in μB.
Fractional coordinates of all 4 atoms:
Ta1 0.7500 0.7500 0.7500  -0.21
Fe1 0.9930 0.9930 0.9930  2.39
Fe2 0.5070 0.5070 0.5070  2.39
Ni1 0.2500 0.2500 0.2500  0.63

=====

[4]
A relaxed structure of KCaOs2. Source: Alexandria via LeMat-Bulk, functional PBE.

Summary:
- Volume: 18.8 Å³/atom
- Final energy: -5.22 eV/atom

a b c (Å): 3.3417 4.3153 5.2267
angles (deg): 90.00 90.00 90.00
Fractional coordinates of all 4 atoms:
Os1 0.0000 0.0000 0.0000
K1 0.0000 0.5000 0.5000
Os2 0.5000 0.5000 0.0000
Ca1 0.5000 0.0000 0.5000

=====

[5]
A relaxed structure of Ca4PAuN. Source: Alexandria via LeMat-Bulk, functional PBE.

Summary:
- Volume: 23.8 Å³/atom
- Final energy: -4.44 eV/atom

a b c (Å): 6.6182 6.7722 8.1273
angles (deg): 90.00 114.03 90.00
Fractional coordinates of all 14 atoms:
Ca1 0.0775 0.7500 0.1549
Ca2 0.0000 0.5000 0.5000
N1 0.7546 0.2500 0.5093
Ca3 0.5000 0.0000 0.5000
Ca4 0.0000 0.0000 0.5000
Ca5 0.4084 0.7500 0.8167
P1 0.1185 0.2500 0.2370
P2 0.8815 0.7500 0.7630
Ca6 0.5000 0.5000 0.5000
N2 0.2454 0.7500 0.4907
Au1 0.3929 0.2500 0.7858
Au2 0.6071 0.7500 0.2142
Ca7 0.5916 0.2500 0.1833
Ca8 0.9225 0.2500 0.8451

=====

[6]
A relaxed structure of BaNiRu. Source: Alexandria via LeMat-Bulk, functional PBE.

Summary:
- Volume: 31.4 Å³/atom
- Final energy: -5.48 eV/atom

a b c (Å): 4.8748 4.1832 9.2437
angles (deg): 90.00 91.39 90.00
Fractional coordinates of all 6 atoms:
Ru1 0.8805 0.2500 0.4547
Ba1 0.2629 0.7500 0.2248
Ni1 0.6178 0.7500 0.5071
Ba2 0.7371 0.2500 0.7752
Ni2 0.3822 0.2500 0.4929
Ru2 0.1195 0.7500 0.5453

=====

[7]
A relaxed structure of LaMoP2H. Source: Alexandria via LeMat-Bulk, functional PBE.

Summary:
- Volume: 17.4 Å³/atom
- Final energy: -6.60 eV/atom

a b c (Å): 4.7559 3.8391 4.7559
angles (deg): 90.00 90.00 90.00
Fractional coordinates of all 5 atoms:
H1 0.0000 0.5000 0.0000
P1 0.0000 0.0000 0.5000
P2 0.5000 0.0000 0.0000
Mo1 0.0000 0.0000 0.0000
La1 0.5000 0.5000 0.5000

=====

[8]
A relaxed structure of WAu. Source: Alexandria via LeMat-Bulk, functional PBE.

Summary:
- Volume: 17.0 Å³/atom
- Final energy: -7.77 eV/atom

a b c (Å): 3.3553 3.3553 6.0423
angles (deg): 90.00 90.00 90.00
Fractional coordinates of all 4 atoms:
W1 0.0000 0.0000 0.5171
W2 0.5000 0.5000 0.7329
Au1 0.0000 0.0000 0.0013
Au2 0.5000 0.5000 0.2487